(1)
ZrScFePd2: optimized geometry, PBE-GGA.

Cell: 4.7691 4.7691 4.4270 Å, 90.00 90.00 90.00°
Last column: magnetic moment on the atom in μB.
Fractional positions:
Zr  0.0000  0.0000  0.5000  -0.04
Sc  0.5000  0.5000  0.5000  0.27
Pd  0.5000  0.0000  0.0000  0.17
Pd  0.0000  0.5000  0.0000  0.17
Fe  0.0000  0.0000  0.0000  1.75

total magnetic moment = 2.5 μB per formula unit
calculated density = 6.7 g/cm³
formation enthalpy at 0 K = 19.94 kJ per mole of atoms

(2)
Ac2Pr2NdY: optimized geometry, PBE-GGA.

Cell: 5.9785 7.4162 10.2829 Å, 90.00 90.00 90.00°
Fractional positions:
Nd  0.5000  0.7577  0.3352
Nd  0.5000  0.2577  0.6648
Pr  0.5000  0.7577  0.6522
Pr  0.0000  0.7575  0.1776
Pr  0.0000  0.2575  0.8224
Pr  0.5000  0.2577  0.3478
Y  0.0000  0.5077  0.5000
Y  0.0000  0.0077  0.5000
Ac  0.0000  0.2575  0.1719
Ac  0.5000  0.5075  0.0001
Ac  0.5000  0.0075  0.9999
Ac  0.0000  0.7575  0.8281

total magnetic moment = 0.0 μB per formula unit
calculated density = 7.1 g/cm³
formation enthalpy at 0 K = 6.24 kJ per mole of atoms

(3)
InNi3As: optimized geometry, PBE-GGA.

Cell: 5.2329 5.2532 7.3011 Å, 68.82 58.15 59.53°
Fractional positions:
In  0.4239  0.5785  0.4624
In  0.5859  0.7674  0.9241
Ni  0.0999  0.1082  0.2579
Ni  0.5391  0.2947  0.9158
Ni  0.1066  0.5770  0.2578
Ni  0.5810  0.9680  0.5220
Ni  0.1273  0.2845  0.8442
Ni  0.1266  0.7887  0.8443
As  0.0149  0.2253  0.5800
As  0.7779  0.0573  0.1524

total magnetic moment = 0.0 μB per formula unit
calculated density = 8.3 g/cm³
formation enthalpy at 0 K = -10.31 kJ per mole of atoms

(4)
Zr2SnSe: optimized geometry, PBE-GGA.

Cell: 4.9431 4.9431 4.9431 Å, 60.00 60.00 60.00°
Fractional positions:
Zr  0.7500  0.7500  0.7500
Zr  0.2500  0.2500  0.2500
Se  0.0000  0.0000  0.0000
Sn  0.5000  0.5000  0.5000

formation energy without anion corrections = -0.54 eV per atom
total magnetic moment = 0.0 μB per formula unit
calculated density = 7.4 g/cm³

no.,raw total energy (eV/atom)
1,-6.539
2,-4.770
3,-5.053
4,-6.687